VASP calculation (GGA-PBE) on an optimized crystal structure of TaF.

For the density of states at the Fermi level, the calculation gives 0.91 states/eV per atom. Its uncorrected formation energy is 0.486 eV per atom. The energy above the most stable polymorph in this dataset comes out at 2148 meV per atom. Its space-group type is Pm-3n.

a b c (Å): 6.1130 6.1130 6.1130
angles (deg): 90.00 90.00 90.00
Element x y z (fractional)
F  0.5000  0.2500  0.0000
F  0.0000  0.5000  0.7500
F  0.5000  0.7500  0.0000
F  0.7500  0.0000  0.5000
F  0.2500  0.0000  0.5000
F  0.0000  0.5000  0.2500
Ta  0.7500  0.5000  0.0000
Ta  0.5000  0.0000  0.7500
Ta  0.5000  0.0000  0.2500
Ta  0.0000  0.7500  0.5000
Ta  0.0000  0.2500  0.5000
Ta  0.2500  0.5000  0.0000